No. 1
Here is BaPrNd2Hg4 after structural relaxation from the Alexandria database. Energies are from GGA-PBE.

a b c (Å): 5.541 5.541 9.699
angles (deg): 73.40 73.40 60.00
Sites, in units of the cell vectors:
Ba: 0.000 0.000 0.000
Hg: 0.129 0.129 0.613
Hg: 0.618 0.618 0.145
Hg: 0.871 0.871 0.387
Hg: 0.382 0.382 0.855
Nd: 0.752 0.752 0.745
Nd: 0.248 0.248 0.255
Pr: 0.500 0.500 0.500

Output
energy: -20.9 eV per formula unit
symmetry: R-3m
magnetic moment: 0.661 μB/cell
calculated formation energy: -0.435 eV/atom

=====

No. 2
Here is Ba2NdHgSe5 after structural relaxation from the Alexandria database. Energies are from GGA-PBE.

a b c (Å): 4.376 9.881 13.344
angles (deg): 90.00 90.00 102.79
Sites, in units of the cell vectors:
Se: 0.495 0.990 0.764
Se: 0.356 0.711 0.007
Se: 0.050 0.099 0.063
Se: 0.644 0.289 0.507
Se: 0.950 0.901 0.563
Se: 0.505 0.010 0.264
Se: 0.706 0.413 0.163
Se: 0.294 0.587 0.663
Se: 0.690 0.380 0.862
Se: 0.310 0.620 0.362
Nd: 0.206 0.412 0.012
Nd: 0.794 0.588 0.512
Ba: 0.882 0.765 0.188
Ba: 0.118 0.235 0.688
Ba: 0.130 0.261 0.318
Ba: 0.870 0.739 0.818
Hg: 0.459 0.917 0.447
Hg: 0.541 0.083 0.947

Output
E_form (uncorrected): -1.44 eV per atom
energy: -39.3 eV per formula unit
symmetry: Cmc2_1
magnetic moment: 0.000 μB/cell